Entry 1:
Computed, not measured: a geometry-optimized SrIn2HgRh structure at the PBE level of DFT.

- DFT total energy (eV/cell) = -16.40
- energy above the most stable polymorph in this dataset (meV per atom) = 0

abc: 5.1709 5.1709 5.7362
angles: 90.00 90.00 90.00
With the nearest neighbours (Å) after each atom.
Space group P4/mmm (No. 123)
Unique sites:
Sr (0.0000, 0.0000, 0.0000)  2 Rh 2.87
In (0.0000, 0.5000, 0.5000)  2 Rh 2.59
Hg (0.5000, 0.5000, 0.0000)  4 Sr 3.66, 8 In 3.86
Rh (0.0000, 0.0000, 0.5000)  4 In 2.59, 2 Sr 2.87

---

Entry 2:
Computed, not measured: a geometry-optimized SrZr2In structure at the PBE level of DFT.

- DFT total energy (eV/cell) = -21.50

abc: 3.4090 4.0358 8.1248
angles: 90.00 90.00 90.00
With the nearest neighbours (Å) after each atom.
Space group Pmm2 (No. 25)
Unique sites:
Sr (0.0000, 0.0000, 0.0000)  2 Sr 3.41, 4 In 3.50, 4 Zr 3.72
Zr (0.0000, 0.0000, 0.4840)  6 Zr 3.08-3.41, 4 In 3.11
Zr (0.5000, 0.5000, 0.6779)  6 Zr 3.08-3.41, 1 In 3.21
In (0.5000, 0.5000, 0.2823)  5 Zr 3.11-3.21, 2 In 3.41

---

Entry 3:
Computed, not measured: a geometry-optimized Ca2MnSeBr structure at the PBE level of DFT.

- DFT total energy (eV/cell) = -19.57

abc: 5.6079 5.6079 4.3949
angles: 90.00 90.00 90.00
With the nearest neighbours (Å) after each atom.
Space group P4/mmm (No. 123)
Unique sites:
Ca (0.0000, 0.5000, 0.0000)  2 Br 2.80
Mn (0.0000, 0.0000, 0.5000)  2 Br 2.20
Se (0.5000, 0.5000, 0.5000)  8 Ca 3.56, 4 Mn 3.97
Br (0.0000, 0.0000, 0.0000)  2 Mn 2.20

---

Entry 4:
Computed, not measured: a geometry-optimized Cs2LaGaRh structure at the PBE level of DFT.

- DFT total energy (eV/cell) = -13.35

abc: 6.3285 6.3285 4.5887
angles: 90.00 90.00 90.00
With the nearest neighbours (Å) after each atom.
Space group P4/mmm (No. 123)
Unique sites:
Cs (0.0000, 0.5000, 0.0000)  2 Ga 3.16
La (0.0000, 0.0000, 0.5000)  8 Cs 3.91
Ga (0.5000, 0.5000, 0.0000)  2 Rh 2.29
Rh (0.5000, 0.5000, 0.5000)  2 Ga 2.29

---

Entry 5:
Computed, not measured: a geometry-optimized Ca2ThHg5 structure at the PBE level of DFT.

- DFT total energy (eV/cell) = -32.08

abc: 5.2834 5.2834 14.9710
angles: 90.00 90.00 90.00
With the nearest neighbours (Å) after each atom.
Space group I4/mmm (No. 139)
Unique sites:
Ca (0.0000, 0.0000, 0.2389)  8 Hg 3.14-3.33
Th (0.0000, 0.0000, 0.5000)  8 Hg 3.24
Hg (0.0000, 0.0000, 0.0000)  8 Hg 3.24, 2 Ca 3.58
Hg (0.0000, 0.5000, 0.1255)  4 Ca 3.14-3.33, 2 Hg 3.24, 2 Th 3.24

---

Entry 6:
Computed, not measured: a geometry-optimized NdEr12Tm3 structure at the PBE level of DFT.

- DFT total energy (eV/cell) = -72.55

abc: 4.9689 4.9689 19.8645
angles: 90.00 90.00 90.00
With the nearest neighbours (Å) after each atom.
Space group P4/mmm (No. 123)
Unique sites:
Nd (0.0000, 0.0000, 0.0000)  12 Er 3.51-3.54
Er (0.0000, 0.5000, 0.1272)  2 Tm 3.50, 8 Er 3.51-3.54, 2 Nd 3.54
Er (0.0000, 0.5000, 0.3756)  8 Er 3.50-3.51, 4 Tm 3.50
Er (0.5000, 0.5000, 0.0000)  4 Nd 3.51, 8 Er 3.54
Er (0.5000, 0.5000, 0.2518)  8 Er 3.50-3.51, 4 Tm 3.51
Er (0.5000, 0.5000, 0.5000)  8 Er 3.50, 4 Tm 3.51
Tm (0.0000, 0.0000, 0.2512)  12 Er 3.50-3.51
Tm (0.0000, 0.0000, 0.5000)  12 Er 3.50-3.51

---

Entry 7:
Computed, not measured: a geometry-optimized GdZrCuAu structure at the PBE level of DFT.

- DFT total energy (eV/cell) = -125.01

abc: 6.9572 6.9572 6.9572
angles: 90.00 90.00 90.00
With the nearest neighbours (Å) after each atom.
Space group F-43m (No. 216)
Unique sites:
Gd (0.0000, 0.0000, 0.0000)  4 Cu 3.01, 4 Au 3.01
Zr (0.0000, 0.0000, 0.5000)  4 Au 3.01, 4 Cu 3.01
Cu (0.2500, 0.2500, 0.2500)  4 Zr 3.01, 4 Gd 3.01
Au (0.2500, 0.2500, 0.7500)  4 Zr 3.01, 4 Gd 3.01

---

Entry 8:
Computed, not measured: a geometry-optimized AcEr2Ag structure at the PBE level of DFT.

- DFT total energy (eV/cell) = -47.78
- energy above the most stable polymorph in this dataset (meV per atom) = 142

abc: 3.7900 3.7900 30.8317
angles: 90.00 90.00 120.00
With the nearest neighbours (Å) after each atom.
Space group R3m (No. 160, hexagonal axes)
Unique sites:
Ac (0.0000, 0.0000, 0.0000)  6 Er 3.74-3.80, 6 Ac 3.79
Er (0.0000, 0.0000, 0.2350)  3 Ag 3.00
Er (0.0000, 0.0000, 0.4341)  3 Ag 3.02
Ag (0.0000, 0.0000, 0.8351)  6 Er 3.00-3.02

---

Entry 9:
Computed, not measured: a geometry-optimized LaTc2P structure at the PBE level of DFT.

- DFT total energy (eV/cell) = -96.60

abc: 4.2551 4.2551 16.2100
angles: 90.00 90.00 120.00
With the nearest neighbours (Å) after each atom.
Space group R-3m (No. 166, hexagonal axes)
Unique sites:
La (0.0000, 0.0000, 0.0000)  2 Tc 3.04
Tc (0.0000, 0.0000, 0.1877)  3 P 2.48, 3 Tc 2.55
P (0.0000, 0.0000, 0.5000)  6 Tc 2.48

---

Entry 10:
Computed, not measured: a geometry-optimized PmIn3Co structure at the PBE level of DFT.

- DFT total energy (eV/cell) = -20.83

abc: 4.9223 4.9223 4.9223
angles: 90.00 90.00 90.00
With the nearest neighbours (Å) after each atom.
Space group Pm-3m (No. 221)
Unique sites:
Pm (0.0000, 0.0000, 0.0000)  12 In 3.48
In (0.0000, 0.5000, 0.5000)  2 Co 2.46
Co (0.5000, 0.5000, 0.5000)  6 In 2.46

---

Entry 11:
Computed, not measured: a geometry-optimized Sr2AsPb structure at the PBE level of DFT.

- DFT total energy (eV/cell) = -42.87
- energy above the most stable polymorph in this dataset (meV per atom) = 78

abc: 4.2587 4.2587 27.9090
angles: 90.00 90.00 120.00
With the nearest neighbours (Å) after each atom.
Space group R-3m (No. 166, hexagonal axes)
Unique sites:
Sr (0.0000, 0.0000, 0.2323)  3 As 3.07
As (0.0000, 0.0000, 0.5000)  6 Sr 3.07
Pb (0.0000, 0.0000, 0.0000)  6 Sr 3.74

---

Entry 12:
Computed, not measured: a geometry-optimized BaAuSCl2 structure at the PBE level of DFT.

- DFT total energy (eV/cell) = -14.63
- energy above the most stable polymorph in this dataset (meV per atom) = 761

abc: 5.9148 5.9148 6.4537
angles: 90.00 90.00 90.00
With the nearest neighbours (Å) after each atom.
Space group P4/mmm (No. 123)
Unique sites:
Ba (0.0000, 0.0000, 0.0000)  4 Cl 2.96, 2 S 3.23
Au (0.5000, 0.5000, 0.5000)  4 S 4.18, 8 Cl 4.38
S (0.0000, 0.0000, 0.5000)  2 Ba 3.23
Cl (0.0000, 0.5000, 0.0000)  2 Ba 2.96

---

Entry 13:
Computed, not measured: a geometry-optimized Pm4AsPb2 structure at the PBE level of DFT.

- DFT total energy (eV/cell) = -69.86

abc: 5.4044 5.4044 16.6390
angles: 90.00 90.00 90.00
With the nearest neighbours (Å) after each atom.
Space group I4/mmm (No. 139)
Unique sites:
Pm (0.0000, 0.0000, 0.1732)  1 As 2.88, 1 Pb 3.21
Pm (0.0000, 0.5000, 0.0000)  2 As 2.70
As (0.0000, 0.0000, 0.0000)  6 Pm 2.70-2.88
Pb (0.0000, 0.0000, 0.3663)  5 Pm 3.21-3.50

---

Entry 14:
Computed, not measured: a geometry-optimized Hf4Zr2Fe structure at the PBE level of DFT.

- DFT total energy (eV/cell) = -125.90

abc: 6.5497 15.5235 3.1019
angles: 90.00 90.00 90.00
With the nearest neighbours (Å) after each atom.
Space group Cmmm (No. 65)
Unique sites:
Hf (0.0000, 0.1560, 0.0000)  1 Fe 2.42
Hf (0.2132, 0.5000, 0.5000)  2 Fe 2.44
Zr (0.0000, 0.3201, 0.5000)  4 Hf 2.98-3.12, 2 Zr 3.10
Fe (0.0000, 0.0000, 0.0000)  6 Hf 2.42-2.44

---

Entry 15:
Computed, not measured: a geometry-optimized Na3Ga2Ag3 structure at the PBE level of DFT.

- DFT total energy (eV/cell) = -75.40
- energy above the most stable polymorph in this dataset (meV per atom) = 0

abc: 4.3954 10.6174 15.5996
angles: 90.00 90.00 90.00
With the nearest neighbours (Å) after each atom.
Space group Cmcm (No. 63)
Unique sites:
Na (0.0000, 0.0747, 0.2500)  3 Ag 2.91-3.25, 2 Ga 3.12, 2 Na 3.22
Na (0.0000, 0.1485, 0.0495)  5 Ag 3.15, 3 Ga 3.21-3.27, 4 Na 3.22-3.51
Ga (0.0000, 0.1838, 0.6549)  4 Ag 2.67-2.81, 1 Ga 2.97
Ag (0.0000, 0.3489, 0.2500)  4 Ga 2.67, 2 Ag 2.80, 1 Na 2.91
Ag (0.0000, 0.4416, 0.0819)  2 Ag 2.80-2.84, 2 Ga 2.81

---

Entry 16:
Computed, not measured: a geometry-optimized BeTlAs2 structure at the PBE level of DFT.

- DFT total energy (eV/cell) = -12.89
- energy above the most stable polymorph in this dataset (meV per atom) = 639

abc: 3.8191 3.8191 5.6211
angles: 90.00 90.00 90.00
With the nearest neighbours (Å) after each atom.
Space group P4/mmm (No. 123)
Unique sites:
Be (0.0000, 0.0000, 0.0000)  4 Tl 2.70
Tl (0.5000, 0.5000, 0.0000)  4 Be 2.70
As (0.0000, 0.5000, 0.5000)  4 As 2.70

---

Entry 17:
Computed, not measured: a geometry-optimized IrRu structure at the PBE level of DFT.

- DFT total energy (eV/cell) = -125.11
- energy above the most stable polymorph in this dataset (meV per atom) = 1304

abc: 7.5783 7.5783 7.5783
angles: 90.00 90.00 90.00
With the nearest neighbours (Å) after each atom.
Space group I-43m (No. 217)
Unique sites:
Ir (0.1585, 0.1585, 0.8415)  4 Ru 2.38-2.43
Ru (0.1561, 0.1561, 0.1561)  4 Ir 2.38-2.43

---

Entry 18:
Computed, not measured: a geometry-optimized AgC2 structure at the PBE level of DFT.

- DFT total energy (eV/cell) = -65.09
- energy above the most stable polymorph in this dataset (meV per atom) = 1343

abc: 9.7623 2.9896 8.6882
angles: 90.00 122.82 90.00
With the nearest neighbours (Å) after each atom.
Space group C2/m (No. 12)
Unique sites:
Ag (0.0224, 0.0000, 0.2696)  3 C 2.08-2.13
C (0.1762, 0.5000, 0.2653)  1 C 1.27
C (0.1930, 0.0000, 0.7341)  1 C 1.27

---

Entry 19:
Computed, not measured: a geometry-optimized LiIr2Pd structure at the PBE level of DFT.

- DFT total energy (eV/cell) = -94.26
- energy above the most stable polymorph in this dataset (meV per atom) = 46

abc: 3.6296 3.6296 18.7059
angles: 90.00 90.00 90.00
With the nearest neighbours (Å) after each atom.
Space group I-42d (No. 122)
Unique sites:
Li (0.0000, 0.0000, 0.0000)  4 Pd 2.57, 4 Ir 2.66
Ir (0.2413, 0.2500, 0.1250)  4 Ir 2.52-2.61, 2 Li 2.66, 2 Pd 2.68
Pd (0.0000, 0.0000, 0.5000)  4 Li 2.57, 4 Ir 2.68

---

Entry 20:
Computed, not measured: a geometry-optimized TaFeReGe structure at the PBE level of DFT.

- DFT total energy (eV/cell) = -150.87

abc: 6.1329 6.1329 6.1329
angles: 90.00 90.00 90.00
With the nearest neighbours (Å) after each atom.
Space group F-43m (No. 216)
Unique sites:
Ta (0.0000, 0.0000, 0.0000)  4 Re 2.66, 4 Fe 2.66
Fe (0.2500, 0.2500, 0.7500)  4 Ge 2.66, 4 Ta 2.66
Re (0.2500, 0.2500, 0.2500)  4 Ge 2.66, 4 Ta 2.66
Ge (0.0000, 0.0000, 0.5000)  4 Fe 2.66, 4 Re 2.66

---

Entry 21:
Computed, not measured: a geometry-optimized BaLi2Ru structure at the PBE level of DFT.

- DFT total energy (eV/cell) = -13.32
- energy above the most stable polymorph in this dataset (meV per atom) = 54

abc: 3.6986 4.2856 6.5022
angles: 90.00 106.43 90.00
With the nearest neighbours (Å) after each atom.
Space group Pm (No. 6)
Unique sites:
Ba (0.0000, 0.0000, 0.0000)  4 Ru 3.12, 2 Li 3.28-3.29
Li (0.2839, 0.0000, 0.5646)  2 Ru 2.56, 4 Li 2.87
Li (0.7464, 0.5000, 0.4900)  2 Ru 2.63, 4 Li 2.87
Ru (0.3953, 0.5000, 0.7906)  4 Li 2.56-2.63

---

Entry 22:
Computed, not measured: a geometry-optimized ScSiP2 structure at the PBE level of DFT.

- DFT total energy (eV/cell) = -46.36

abc: 3.6943 5.0755 7.0846
angles: 90.00 90.00 90.00
With the nearest neighbours (Å) after each atom.
Space group Cmmm (No. 65)
Unique sites:
Sc (0.0000, 0.0000, 0.0000)  4 P 2.59
Si (0.0000, 0.0000, 0.5000)  4 P 2.53
P (0.0000, 0.5000, 0.2558)  2 Si 2.53, 2 Sc 2.59

---

Entry 23:
Computed, not measured: a geometry-optimized Eu2CdRu structure at the PBE level of DFT.

- DFT total energy (eV/cell) = -30.98

abc: 3.5138 3.5138 8.2130
angles: 90.00 90.00 90.00
With the nearest neighbours (Å) after each atom.
Space group P4/mmm (No. 123)
Unique sites:
Eu (0.0000, 0.0000, 0.2089)  4 Ru 3.02
Cd (0.5000, 0.5000, 0.5000)  8 Eu 3.45, 4 Cd 3.51
Ru (0.5000, 0.5000, 0.0000)  8 Eu 3.02

---

Entry 24:
Computed, not measured: a geometry-optimized SrBiAs2Se structure at the PBE level of DFT.

- DFT total energy (eV/cell) = -18.33
- energy above the most stable polymorph in this dataset (meV per atom) = 0

abc: 5.4240 5.4240 5.6430
angles: 90.00 90.00 90.00
With the nearest neighbours (Å) after each atom.
Space group P4/mmm (No. 123)
Unique sites:
Sr (0.0000, 0.0000, 0.0000)  4 Se 3.84, 8 As 3.91
Bi (0.5000, 0.5000, 0.5000)  4 As 2.71, 2 Se 2.82
As (0.0000, 0.5000, 0.5000)  2 Bi 2.71
Se (0.5000, 0.5000, 0.0000)  2 Bi 2.82

---

Entry 25:
Computed, not measured: a geometry-optimized Mn2RhBr structure at the PBE level of DFT.

- DFT total energy (eV/cell) = -53.10
- energy above the most stable polymorph in this dataset (meV per atom) = 165

abc: 7.3916 3.1812 7.7937
angles: 90.00 117.07 90.00
With the nearest neighbours (Å) after each atom.
Space group C2/m (No. 12)
Unique sites:
Mn (0.1993, 0.0000, 0.3102)  3 Rh 2.52-2.58, 2 Br 2.70
Rh (0.0000, 0.0000, 0.5000)  6 Mn 2.52-2.58
Br (0.0000, 0.5000, 0.0000)  4 Mn 2.70

---

Entry 26:
Computed, not measured: a geometry-optimized SiNi structure at the PBE level of DFT.

- DFT total energy (eV/cell) = -70.11

abc: 6.4325 6.4325 4.3684
angles: 90.00 90.00 120.00
With the nearest neighbours (Å) after each atom.
Space group P6_3/m (No. 176)
Unique sites:
Si (0.0552, 0.7631, 0.2500)  5 Ni 2.25-2.34
Ni (0.0757, 0.6431, 0.7500)  5 Si 2.25-2.34

---

Entry 27:
Computed, not measured: a geometry-optimized ScHSe2Br structure at the PBE level of DFT.

- DFT total energy (eV/cell) = -17.94
- energy above the most stable polymorph in this dataset (meV per atom) = 242

abc: 5.3414 5.3414 3.6014
angles: 90.00 90.00 90.00
With the nearest neighbours (Å) after each atom.
Space group P4/mmm (No. 123)
Unique sites:
Sc (0.0000, 0.0000, 0.0000)  8 Se 3.22, 2 Sc 3.60
H (0.5000, 0.5000, 0.0000)  2 Br 1.80
Se (0.0000, 0.5000, 0.5000)  2 Br 2.67
Br (0.5000, 0.5000, 0.5000)  2 H 1.80